No. 1
DFT (GGA-PBEsol) results for a relaxed structure of Rb3NiS.

Its total energy is -13.19 eV for the cell shown. Its energy relative to the elements, uncorrected is 0.0857 eV/atom. As for the theoretical density: 2.36 g/cm3.

It has space group Pm-3m (No. 221), with a = 6.248 Å, b = 6.248 Å, c = 6.248 Å, α = 90.00°, β = 90.00° and γ = 90.00°. The asymmetric unit holds Rb at (0.000, 0.000, 0.500), Ni at (0.500, 0.500, 0.500) and S at (0.000, 0.000, 0.000).

---

No. 2
DFT (GGA-PBEsol) results for a relaxed structure of TaGeH2Pd.

Its total energy is -28.18 eV for the cell shown. As for the theoretical density: 8.97 g/cm3.

It has space group P4/mmm (No. 123), with a = 3.589 Å, b = 3.589 Å, c = 5.205 Å, α = 90.00°, β = 90.00° and γ = 90.00°. The asymmetric unit holds Ta at (0.000, 0.000, 0.000), Ge at (0.500, 0.500, 0.500), H at (0.000, 0.500, 0.000) and Pd at (0.000, 0.000, 0.500).

---

No. 3
DFT (GGA-PBEsol) results for a relaxed structure of Ba3AlTc.

Its total energy is -18.81 eV for the cell shown. The calculation puts the formation energy at 3.00 eV/f.u. As for the theoretical density: 4.80 g/cm3.

It has space group Pm-3m (No. 221), with a = 5.707 Å, b = 5.707 Å, c = 5.707 Å, α = 90.00°, β = 90.00° and γ = 90.00°. The asymmetric unit holds Ba at (0.000, 0.000, 0.500), Al at (0.500, 0.500, 0.500) and Tc at (0.000, 0.000, 0.000).

---

No. 4
DFT (GGA-PBEsol) results for a relaxed structure of BeAs2Rh.

Its total energy is -43.53 eV for the cell shown. The calculation puts the formation energy at 0.59 eV/f.u. As for the theoretical density: 7.67 g/cm3.

It has space group I-4m2 (No. 119), with a = 3.826 Å, b = 3.826 Å, c = 7.744 Å, α = 90.00°, β = 90.00° and γ = 90.00°. The asymmetric unit holds Be at (0.000, 0.000, 0.000), As at (0.000, 0.000, 0.500), As at (0.000, 0.500, 0.750) and Rh at (0.000, 0.500, 0.250).

---

no.,magnetization (μB/f.u.)
1,1.0
2,0.0
3,0.0
4,0.0